(1)
Cd4NiSn: optimized geometry, PBE.

Cell lengths 5.2662, 8.9201, 7.4575 Å; angles 126.73, 101.14, 90.00 degrees
With the nearest neighbours (Å) after each atom.
Fractional coordinates of all 12 atoms:
Ni: 0.7431 0.5051 0.0102  2 Ni 2.53-2.74, 8 Cd 2.65-2.79
Cd: 0.4193 0.1568 0.7301  2 Ni 2.69-2.79
Cd: 0.5807 0.4267 0.2699  2 Ni 2.69-2.79
Cd: 0.1227 0.7061 0.4122  2 Ni 2.73-2.78, 1 Sn 3.06
Sn: 0.2822 0.1487 0.2975  8 Cd 2.98-3.20
Cd: 0.0000 0.7545 0.0000  2 Ni 2.65
Cd: 0.0000 0.2455 0.0000  2 Ni 2.65
Sn: 0.7178 0.8513 0.7025  8 Cd 2.98-3.20
Cd: 0.8773 0.2939 0.5878  2 Ni 2.73-2.78, 1 Sn 3.06
Cd: 0.4193 0.5733 0.7301  2 Ni 2.69-2.79
Cd: 0.5807 0.8432 0.2699  2 Ni 2.69-2.79
Ni: 0.2569 0.4949 0.9898  2 Ni 2.53-2.74, 8 Cd 2.65-2.79

Summary:
- total DFT energy (no corrections) (eV per atom) = -2.198
- crystal system = monoclinic
- ΔE_f (eV/f.u.) = 0.26
- D(E_F) (states/eV/cell) = 3.885

***

(2)
MgGa2GeO6: optimized geometry, PBE.

Cell lengths 5.5748, 6.9817, 6.9817 Å; angles 97.39, 74.27, 74.27 degrees
With the nearest neighbours (Å) after each atom.
Fractional coordinates of all 20 atoms:
Ga: 0.3219 0.7199 0.5568  4 O 1.85-2.01
O: 0.5722 0.1376 0.6499  1 Ge 1.77, 1 Ga 1.91
Mg: 0.2500 0.9016 0.0984  6 O 2.14-2.29
O: 0.5053 0.5485 0.6878  2 Ga 1.85
O: 0.4278 0.8624 0.3501  1 Ge 1.77, 1 Ga 1.91
O: 0.6664 0.8025 0.9525  1 Ge 1.80, 1 Ga 2.01
O: 0.9947 0.3122 0.4515  2 Ga 1.85
O: 0.3336 0.1975 0.0475  1 Ge 1.80, 1 Ga 2.01
Mg: 0.7500 0.0984 0.9016  6 O 2.14-2.29
Ga: 0.6781 0.2801 0.4432  4 O 1.85-2.01
Ga: 0.1781 0.4432 0.2801  4 O 1.85-2.01
Ge: 0.7500 0.8152 0.1848  4 O 1.77-1.80
Ge: 0.2500 0.1848 0.8152  4 O 1.77-1.80
O: 0.9278 0.3501 0.8624  1 Ge 1.77, 1 Ga 1.91
Ga: 0.8219 0.5568 0.7199  4 O 1.85-2.01
O: 0.1664 0.9525 0.8025  1 Ge 1.80, 1 Ga 2.01
O: 0.4947 0.4515 0.3122  2 Ga 1.85
O: 0.8336 0.0475 0.1975  1 Ge 1.80, 1 Ga 2.01
O: 0.0053 0.6878 0.5485  2 Ga 1.85
O: 0.0722 0.6499 0.1376  1 Ge 1.77, 1 Ga 1.91

Summary:
- total DFT energy (no corrections) (eV per atom) = -6.098
- formation energy without anion corrections (eV per atom) = -1.897
- crystal system = monoclinic
- D(E_F) (states/eV/cell) = 0.000

***

(3)
BaLiAlSn2: optimized geometry, PBE.

Cell lengths 4.8055, 4.8055, 6.8142 Å; angles 110.65, 110.65, 90.00 degrees
With the nearest neighbours (Å) after each atom.
Fractional coordinates of all 5 atoms:
Ba: 0.0000 0.0000 0.0000  8 Sn 3.70, 4 Li 3.81, 4 Al 3.81
Sn: 0.3760 0.3760 0.7520  2 Li 2.83, 2 Al 2.83, 1 Sn 2.93
Al: 0.2500 0.7500 0.5000  4 Sn 2.83
Li: 0.7500 0.2500 0.5000  4 Sn 2.83
Sn: 0.6240 0.6240 0.2480  2 Al 2.83, 2 Li 2.83, 1 Sn 2.93

Summary:
- total DFT energy (no corrections) (eV per atom) = -3.557
- crystal system = tetragonal
- ΔE_f (eV/f.u.) = -2.20
- D(E_F) (states/eV/cell) = 1.448

***

(4)
CsSn3Au2: optimized geometry, PBE.

Cell lengths 7.1752, 7.2701, 6.7333 Å; angles 89.99, 90.00, 90.00 degrees
With the nearest neighbours (Å) after each atom.
Fractional coordinates of all 12 atoms:
Sn: 0.2500 0.2500 0.5134  2 Au 2.81, 2 Sn 2.98
Au: 0.4564 0.2500 0.8687  5 Sn 2.81-2.99, 1 Au 2.96
Au: 0.0436 0.2500 0.8687  5 Sn 2.81-2.99, 1 Au 2.96
Sn: 0.7500 0.7500 0.4866  2 Au 2.81, 2 Sn 2.98
Sn: 0.2500 0.0101 0.1539  4 Au 2.83-2.99, 1 Sn 2.98
Cs: 0.2500 0.7500 0.6586  12 Sn 3.76-4.18, 8 Au 3.82-4.17
Sn: 0.7500 0.9899 0.8461  4 Au 2.83-2.99, 1 Sn 2.98
Cs: 0.7500 0.2500 0.3414  12 Sn 3.76-4.18, 8 Au 3.82-4.17
Au: 0.5436 0.7500 0.1313  5 Sn 2.81-2.99, 1 Au 2.96
Au: 0.9564 0.7500 0.1313  5 Sn 2.81-2.99, 1 Au 2.96
Sn: 0.2500 0.4901 0.1539  4 Au 2.83-2.99, 1 Sn 2.98
Sn: 0.7500 0.5099 0.8461  4 Au 2.83-2.99, 1 Sn 2.98

Summary:
- total DFT energy (no corrections) (eV per atom) = -3.433
- crystal system = orthorhombic
- ΔE_f (eV/f.u.) = -1.18
- D(E_F) (states/eV/cell) = 7.554

***

(5)
K3Nd3ErSe8: optimized geometry, PBE.

Cell lengths 8.5492, 8.5552, 9.2725 Å; angles 117.51, 90.00, 119.97 degrees
With the nearest neighbours (Å) after each atom.
Fractional coordinates of all 15 atoms:
Se: 0.7709 0.5418 0.2970  1 Er 2.87, 2 Nd 2.97
Se: 0.7449 0.9740 0.7030  1 Er 2.87, 2 Nd 2.97
Se: 0.2291 0.9740 0.7030  1 Er 2.87, 2 Nd 2.97
Se: 0.2551 0.0260 0.2970  1 Er 2.87, 2 Nd 2.97
Nd: 0.0000 0.5000 0.5000  6 Se 2.97-2.98
Er: 0.0000 0.0000 0.5000  6 Se 2.87
K: 0.0000 0.5000 0.0000  6 Se 3.35-3.37
K: 0.0000 0.0000 0.0000  6 Se 3.35-3.37
K: 0.5000 0.5000 0.0000  6 Se 3.35-3.37
Nd: 0.5000 0.5000 0.5000  6 Se 2.97-2.98
Se: 0.2627 0.5253 0.2881  3 Nd 2.98
Se: 0.2291 0.4582 0.7030  1 Er 2.87, 2 Nd 2.97
Se: 0.7373 0.4747 0.7119  3 Nd 2.98
Nd: 0.5000 0.0000 0.5000  6 Se 2.97-2.98
Se: 0.7709 0.0260 0.2970  1 Er 2.87, 2 Nd 2.97

Summary:
- total DFT energy (no corrections) (eV per atom) = -4.995
- formation energy without anion corrections (eV per atom) = -1.660
- crystal system = monoclinic
- D(E_F) (states/eV/cell) = 10.843

***

(6)
Pm2ThCd: optimized geometry, PBE.

Cell lengths 3.5585, 3.5585, 12.3771 Å; angles 81.73, 81.73, 60.00 degrees
With the nearest neighbours (Å) after each atom.
Fractional coordinates of all 4 atoms:
Pm: 0.0894 0.0894 0.7317  1 Cd 3.27, 3 Th 3.50, 6 Pm 3.56
Pm: 0.9106 0.9106 0.2683  1 Cd 3.27, 3 Th 3.50, 6 Pm 3.56
Th: 0.5000 0.5000 0.5000  6 Pm 3.50, 6 Th 3.56
Cd: 0.0000 0.0000 0.0000  2 Pm 3.27, 6 Cd 3.56

Summary:
- E above lowest polymorph (meV/atom) = 317
- total DFT energy (no corrections) (eV per atom) = -4.308
- crystal system = trigonal
- ΔE_f (eV/f.u.) = 0.60
- D(E_F) (states/eV/cell) = 4.639

***

(7)
Ac3Ge7Au2: optimized geometry, PBE.

Cell lengths 4.5097, 4.6887, 13.9010 Å; angles 99.12, 90.00, 90.00 degrees
With the nearest neighbours (Å) after each atom.
Fractional coordinates of all 12 atoms:
Ge: 0.5000 0.9265 0.8321  2 Au 2.63-2.80, 2 Ge 2.86
Ge: 0.5000 0.2689 0.5430  1 Au 2.60, 2 Ge 2.61-2.64
Ge: 0.0000 0.0000 0.0000  6 Ge 2.93-3.22, 4 Ac 3.25
Au: 0.5000 0.4007 0.7318  5 Ge 2.60-2.80
Ge: 0.5000 0.7311 0.4570  1 Au 2.60, 2 Ge 2.61-2.64
Ge: 0.5000 0.0735 0.1679  2 Au 2.63-2.80, 2 Ge 2.86
Ge: 0.0000 0.7003 0.1694  2 Au 2.72, 3 Ge 2.86-2.93
Ge: 0.0000 0.2997 0.8306  2 Au 2.72, 3 Ge 2.86-2.93
Au: 0.5000 0.5993 0.2682  5 Ge 2.60-2.80
Ac: 0.0000 0.1934 0.3657  9 Ge 3.29-3.53, 4 Au 3.37-3.67
Ac: 0.5000 0.5000 0.0000  12 Ge 3.25-3.31
Ac: 0.0000 0.8066 0.6343  9 Ge 3.29-3.53, 4 Au 3.37-3.67

Summary:
- total DFT energy (no corrections) (eV per atom) = -4.776
- crystal system = monoclinic
- ΔE_f (eV/f.u.) = -6.12
- D(E_F) (states/eV/cell) = 6.395

***

(8)
LaTlCl: optimized geometry, PBE.

Cell lengths 3.8619, 3.8619, 7.9097 Å; angles 90.00, 90.00, 120.00 degrees
With the nearest neighbours (Å) after each atom.
Fractional coordinates of all 3 atoms:
La: 0.3333 0.6667 0.3070  3 Cl 2.93
Tl: 0.6667 0.3333 0.6267  3 La 3.37
Cl: 0.0000 0.0000 0.0663  3 La 2.93

Summary:
- E above lowest polymorph (meV/atom) = 0
- total DFT energy (no corrections) (eV per atom) = -3.972
- formation energy without anion corrections (eV per atom) = -0.925
- crystal system = trigonal
- D(E_F) (states/eV/cell) = 2.671

***

(9)
AlHgW2: optimized geometry, PBE.

Cell lengths 5.3038, 5.3038, 2.7947 Å; angles 82.28, 82.28, 117.37 degrees
With the nearest neighbours (Å) after each atom.
Fractional coordinates of all 4 atoms:
W: 0.5000 0.5000 0.0000  4 W 2.76-2.79, 2 Al 2.83, 2 Hg 2.83
Hg: 0.0000 0.5000 0.5000  2 Al 2.76, 2 Hg 2.79, 4 W 2.83
W: 0.0000 0.0000 0.0000  4 W 2.76-2.79, 2 Hg 2.83, 2 Al 2.83
Al: 0.5000 0.0000 0.5000  2 Hg 2.76, 2 Al 2.79, 4 W 2.83

Summary:
- E above lowest polymorph (meV/atom) = 155
- total DFT energy (no corrections) (eV per atom) = -6.994
- crystal system = monoclinic
- ΔE_f (eV/f.u.) = 1.97
- D(E_F) (states/eV/cell) = 2.018

***

(10)
Pu2Zn3Tc: optimized geometry, PBE.

Cell lengths 5.1782, 5.1782, 5.5747 Å; angles 90.07, 117.71, 119.87 degrees
With the nearest neighbours (Å) after each atom.
Fractional coordinates of all 6 atoms:
Zn: 0.5000 0.5000 0.5000  4 Zn 2.59, 2 Tc 2.79
Pu: 0.7258 0.3628 0.0885  3 Tc 3.02, 3 Pu 3.10-3.11, 9 Zn 3.14-3.24
Zn: 0.0000 0.0000 0.5000  4 Zn 2.59, 2 Tc 2.79
Tc: 0.0000 0.0000 0.0000  6 Zn 2.79, 6 Pu 3.02
Pu: 0.2742 0.6372 0.9115  3 Tc 3.02, 3 Pu 3.10-3.11, 9 Zn 3.14-3.24
Zn: 0.5000 0.0000 0.5000  4 Zn 2.59, 2 Tc 2.79

Summary:
- total DFT energy (no corrections) (eV per atom) = -7.265
- crystal system = monoclinic
- ΔE_f (eV/f.u.) = -0.74
- D(E_F) (states/eV/cell) = 14.049

***

(11)
RbPaFe2S4: optimized geometry, PBE.

Cell lengths 6.3693, 6.3190, 6.3190 Å; angles 69.64, 59.74, 59.74 degrees
With the nearest neighbours (Å) after each atom.
Fractional coordinates of all 8 atoms:
S: 0.0752 0.8942 0.4945  1 Fe 2.28
Rb: 0.0000 0.0000 0.0000  8 S 3.19-3.24
S: 0.5361 0.4945 0.8942  1 Fe 2.28
S: 0.9248 0.5055 0.1058  1 Fe 2.28
Fe: 0.8583 0.6417 0.6417  2 S 2.28, 1 Fe 2.32
Pa: 0.5000 0.5000 0.5000  4 S 2.60
Fe: 0.1417 0.3583 0.3583  2 S 2.28, 1 Fe 2.32
S: 0.4639 0.1058 0.5055  1 Fe 2.28

Summary:
- total DFT energy (no corrections) (eV per atom) = -6.186
- formation energy without anion corrections (eV per atom) = -0.699
- crystal system = orthorhombic
- D(E_F) (states/eV/cell) = 3.739